## Sm2BeAlPd6 (PBE)

Data for a geometry-optimized Sm2BeAlPd6 structure.

Values from the calculation:
size of the total moment	0.00	μB/cell
calculated volume	184.8	Å³/f.u.
uncorrected energy	-5.5140	eV/atom
energy of formation from the pure elements	-0.71	eV/atom
space group	C2/m, No. 12

a = 5.871 Å, b = 5.871 Å, c = 7.248 Å
α = 116.00°, β = 116.00°, γ = 58.90°
Fractional coordinates of all 10 atoms:
Sm (0.219, 0.219, 0.182)
Sm (0.781, 0.781, 0.818)
Be (0.000, 0.000, 0.500)
Al (0.500, 0.500, 0.000)
Pd (0.245, 0.245, 0.672)
Pd (0.252, 0.739, 0.713)
Pd (0.261, 0.748, 0.287)
Pd (0.739, 0.252, 0.713)
Pd (0.748, 0.261, 0.287)
Pd (0.755, 0.755, 0.328)


## LiZr3Tl (PBE)

Data for a geometry-optimized LiZr3Tl structure.

Values from the calculation:
size of the total moment	1.89	μB/cell
relative energy among the computed polymorphs	677	meV per atom
calculated volume	159.5	Å³/f.u.
uncorrected energy	-4.7783	eV/atom
energy of formation from the pure elements	1.21	eV/atom
space group	Pm-3m, No. 221

a = 5.423 Å, b = 5.423 Å, c = 5.423 Å
α = 90.00°, β = 90.00°, γ = 90.00°
Fractional coordinates of all 5 atoms:
Li (0.000, 0.000, 0.000)
Zr (0.000, 0.500, 0.500)
Zr (0.500, 0.000, 0.500)
Zr (0.500, 0.500, 0.000)
Tl (0.500, 0.500, 0.500)